! SrCa2HgAs, optimized geometry, DFT GGA-PBE; values from VASP
&SYSTEM
  ibrav = 0, nat = 5, ntyp = 4
/
ATOMIC_SPECIES
Sr 87.62 Sr.upf
As 74.92 As.upf
Hg 200.59 Hg.upf
Ca 40.08 Ca.upf
CELL_PARAMETERS angstrom
-4.9462 0.4496 2.5736
-0.0700 -5.5312 0.8317
2.8009 0.7541 5.2512
ATOMIC_POSITIONS angstrom
Sr 1.4004 0.3771 2.6256
As 0.0000 0.0000 0.0000
Hg -1.1077 -2.1637 4.3282
Ca -2.4731 0.2248 1.2868
Ca -0.0350 -2.7656 0.4158
! Magnetization   0.0000 μB per atom
! Final energy   -2.706 eV/atom
! Offset from the most stable computed form   0.0 meV/atom
! DOS(E_F)   4.66 states/eV per cell
! DFT formation energy   -0.58 eV per atom
! Symmetry   P4/mmm, No. 123
! Density   3.92 g/cm3



! CuTc2Se, optimized geometry, DFT GGA-PBE; values from VASP
&SYSTEM
  ibrav = 0, nat = 4, ntyp = 3
/
ATOMIC_SPECIES
Tc 98.00 Tc.upf
Cu 63.55 Cu.upf
Se 78.96 Se.upf
CELL_PARAMETERS angstrom
-3.0344 2.4211 -3.2864
-5.0197 -0.5860 0.5739
4.2801 1.5461 2.2715
ATOMIC_POSITIONS angstrom
Tc -1.4017 2.4449 -1.1893
Tc -0.1253 0.0285 -0.0422
Cu -3.9243 0.8941 -1.3216
Se -2.3498 0.9312 0.7559
! Magnetization   0.0000 μB per atom
! E_form (uncorrected)   1.4 eV per formula unit
! Final energy   -6.716 eV/atom
! DOS(E_F)   4.53 states/eV per cell
! Symmetry   Imm2, No. 44
! Density   9.77 g/cm3